<A>
Material: Hf3ScCl
Method: DFT, GGA-PBE
State: optimized geometry

```
data_Hf3ScCl
_chemical_formula_sum 'Hf3 Sc1 Cl1'
_cell_length_a 5.1333
_cell_length_b 5.1333
_cell_length_c 5.1333
_cell_angle_alpha 90.00
_cell_angle_beta 90.00
_cell_angle_gamma 90.00
_symmetry_space_group_name_H-M 'P 1'
_symmetry_Int_Tables_number 1
loop_
_symmetry_equiv_pos_as_xyz
'x,y,z'
loop_
_atom_site_label
_atom_site_fract_x
_atom_site_fract_y
_atom_site_fract_z
Hf1 0.0000 0.0000 0.5000
Hf2 0.0000 0.5000 0.0000
Hf3 0.5000 0.0000 0.0000
Sc1 0.0000 0.0000 0.0000
Cl1 0.5000 0.5000 0.5000
```

## Properties
**SG**: Pm-3m (221)
**Magnetization**: 1.4 μB per formula unit



<B>
Material: Hf3ScCl
Method: DFT, GGA-PBE
State: optimized geometry

```
data_Hf3ScCl
_chemical_formula_sum 'Hf3 Sc1 Cl1'
_cell_length_a 4.7909
_cell_length_b 4.7909
_cell_length_c 4.7909
_cell_angle_alpha 90.00
_cell_angle_beta 90.00
_cell_angle_gamma 90.00
_symmetry_space_group_name_H-M 'P 1'
_symmetry_Int_Tables_number 1
loop_
_symmetry_equiv_pos_as_xyz
'x,y,z'
loop_
_atom_site_label
_atom_site_fract_x
_atom_site_fract_y
_atom_site_fract_z
Hf1 0.0000 0.0000 0.5000
Hf2 0.0000 0.5000 0.0000
Hf3 0.5000 0.0000 0.0000
Sc1 0.5000 0.5000 0.5000
Cl1 0.0000 0.0000 0.0000
```

## Properties
**SG**: Pm-3m (221)
**Magnetization**: 0.0 μB per formula unit



Of them, <B> has the highest stability.



<A>
Material: HfSeCl2
Method: DFT, GGA-PBE
State: optimized geometry

```
data_HfSeCl2
_chemical_formula_sum 'Hf1 Se1 Cl2'
_cell_length_a 4.7343
_cell_length_b 4.7343
_cell_length_c 4.7343
_cell_angle_alpha 60.00
_cell_angle_beta 60.00
_cell_angle_gamma 60.00
_symmetry_space_group_name_H-M 'P 1'
_symmetry_Int_Tables_number 1
loop_
_symmetry_equiv_pos_as_xyz
'x,y,z'
loop_
_atom_site_label
_atom_site_fract_x
_atom_site_fract_y
_atom_site_fract_z
Hf1 0.0000 0.0000 0.0000
Se1 0.5000 0.5000 0.5000
Cl1 0.2500 0.2500 0.2500
Cl2 0.7500 0.7500 0.7500
```

## Properties
**SG**: Fm-3m (225)
**Magnetization**: 0.0 μB per formula unit



<B>
Material: HfSeCl2
Method: DFT, GGA-PBE
State: optimized geometry

```
data_HfSeCl2
_chemical_formula_sum 'Hf2 Se2 Cl4'
_cell_length_a 6.9908
_cell_length_b 6.9908
_cell_length_c 6.9908
_cell_angle_alpha 97.61
_cell_angle_beta 97.61
_cell_angle_gamma 137.32
_symmetry_space_group_name_H-M 'P 1'
_symmetry_Int_Tables_number 1
loop_
_symmetry_equiv_pos_as_xyz
'x,y,z'
loop_
_atom_site_label
_atom_site_fract_x
_atom_site_fract_y
_atom_site_fract_z
Hf1 0.0000 0.0000 0.0000
Hf2 0.7500 0.2500 0.5000
Se1 0.2500 0.7500 0.5000
Se2 0.5000 0.5000 0.0000
Cl1 0.3750 0.0181 0.1431
Cl2 0.7681 0.6250 0.6431
Cl3 0.8750 0.2319 0.8569
Cl4 0.9819 0.1250 0.3569
```

## Properties
**SG**: I-42d (122)
**Magnetization**: 0.0 μB per formula unit



Of them, <B> has the highest stability.



<A>
Material: HfSe2Cl
Method: DFT, GGA-PBE
State: optimized geometry

```
data_HfSe2Cl
_chemical_formula_sum 'Hf2 Se4 Cl2'
_cell_length_a 7.3705
_cell_length_b 7.3705
_cell_length_c 7.3705
_cell_angle_alpha 124.47
_cell_angle_beta 124.47
_cell_angle_gamma 82.42
_symmetry_space_group_name_H-M 'P 1'
_symmetry_Int_Tables_number 1
loop_
_symmetry_equiv_pos_as_xyz
'x,y,z'
loop_
_atom_site_label
_atom_site_fract_x
_atom_site_fract_y
_atom_site_fract_z
Hf1 0.0000 0.0000 0.0000
Hf2 0.7500 0.2500 0.5000
Se1 0.0546 0.6250 0.9296
Se2 0.3750 0.3046 0.4296
Se3 0.6954 0.1250 0.0704
Se4 0.8750 0.9454 0.5704
Cl1 0.2500 0.7500 0.5000
Cl2 0.5000 0.5000 0.0000
```

## Properties
**SG**: I-42d (122)
**Magnetization**: 0.0 μB per formula unit



<B>
Material: HfSe2Cl
Method: DFT, GGA-PBE
State: optimized geometry

```
data_HfSe2Cl
_chemical_formula_sum 'Hf1 Se2 Cl1'
_cell_length_a 4.8245
_cell_length_b 4.8245
_cell_length_c 4.8245
_cell_angle_alpha 60.00
_cell_angle_beta 60.00
_cell_angle_gamma 60.00
_symmetry_space_group_name_H-M 'P 1'
_symmetry_Int_Tables_number 1
loop_
_symmetry_equiv_pos_as_xyz
'x,y,z'
loop_
_atom_site_label
_atom_site_fract_x
_atom_site_fract_y
_atom_site_fract_z
Hf1 0.0000 0.0000 0.0000
Se1 0.2500 0.2500 0.2500
Se2 0.7500 0.7500 0.7500
Cl1 0.5000 0.5000 0.5000
```

## Properties
**SG**: Fm-3m (225)
**Magnetization**: 0.0 μB per formula unit



<C>
Material: HfSe2Cl
Method: DFT, GGA-PBE
State: optimized geometry

```
data_HfSe2Cl
_chemical_formula_sum 'Hf1 Se2 Cl1'
_cell_length_a 8.5480
_cell_length_b 8.5480
_cell_length_c 8.5480
_cell_angle_alpha 25.73
_cell_angle_beta 25.73
_cell_angle_gamma 25.73
_symmetry_space_group_name_H-M 'P 1'
_symmetry_Int_Tables_number 1
loop_
_symmetry_equiv_pos_as_xyz
'x,y,z'
loop_
_atom_site_label
_atom_site_fract_x
_atom_site_fract_y
_atom_site_fract_z
Hf1 0.0000 0.0000 0.0000
Se1 0.3958 0.3958 0.3958
Se2 0.6042 0.6042 0.6042
Cl1 0.5000 0.5000 0.5000
```

## Properties
**SG**: R-3m (166)
**Magnetization**: 0.0 μB per formula unit



Of them, <C> has the highest stability.